1.
Material: Pr3Ni2Ge4Pd2
Method: DFT, PBE-GGA
State: optimized geometry

## Properties
Its energy is -5.7477 eV per atom.

Lattice parameters (Å, degrees): 12.744 12.744 12.744 161.28 160.46 27.19
Element x y z (fractional)
Ge (0.051, 0.051, 0.000)
Ge (0.949, 0.949, 0.000)
Ge (0.703, 0.203, 0.500)
Ge (0.297, 0.797, 0.500)
Ni (0.250, 0.250, 0.000)
Ni (0.750, 0.750, 0.000)
Pd (0.600, 0.100, 0.500)
Pd (0.400, 0.900, 0.500)
Pr (0.500, 0.500, 0.000)
Pr (0.847, 0.347, 0.500)
Pr (0.153, 0.653, 0.500)



2.
Material: Ba2TbOsS6
Method: DFT, PBE-GGA
State: optimized geometry

## Properties
Its energy is -5.7266 eV per atom.

Lattice parameters (Å, degrees): 7.075 7.075 7.075 120.84 120.84 88.55
Each line ends with the local moment (μB).
Element x y z (fractional)
Ba (0.750, 0.250, 0.500)  0.02
Ba (0.250, 0.750, 0.500)  0.02
Os (0.500, 0.500, 0.000)  1.38
S (0.265, 0.265, 0.000)  0.09
S (0.735, 0.735, 0.000)  0.09
S (0.781, 0.311, 0.093)  0.10
S (0.689, 0.781, 0.470)  0.10
S (0.311, 0.219, 0.530)  0.10
S (0.219, 0.689, 0.907)  0.10
Tb (0.000, 0.000, 0.000)  -0.01



3.
Material: Na2MgAg
Method: DFT, PBE-GGA
State: optimized geometry

## Properties
Its energy is -1.7093 eV per atom.

Lattice parameters (Å, degrees): 5.885 5.885 5.885 136.91 136.91 62.57
Element x y z (fractional)
Ag (0.500, 0.500, 0.000)
Mg (0.000, 0.000, 0.000)
Na (0.750, 0.250, 0.500)
Na (0.250, 0.750, 0.500)